Density functional theory data (GGA+U) for crystalline Na2CdNiO4 at its relaxed geometry.

## Properties
Energy in eV per atom: -4.229
Spin magnetization in μB/f.u.: 1.76
Theoretical density in kg/m³: 4924

abc: 5.5015 3.1881 5.6942
angles: 90.00 108.36 90.00
Last column: nearest neighbours and their distance in Å.
Sites, in units of the cell vectors:
Na: 0.0000 0.0000 0.0000  6 O 2.47-2.64
Na: 0.5000 0.5000 0.0000  6 O 2.33-2.34
Cd: 0.0000 0.5000 0.5000  6 O 2.23-2.29
Ni: 0.5000 0.0000 0.5000  6 O 1.90-2.12
O: 0.2824 0.5000 0.2915  2 Ni 2.12, 1 Cd 2.23, 1 Na 2.33
O: 0.2860 0.0000 0.7053  1 Ni 1.90
O: 0.7140 0.0000 0.2947  1 Ni 1.90
O: 0.7176 0.5000 0.7085  2 Ni 2.12, 1 Cd 2.23, 1 Na 2.33